Entry from the Alexandria database: a relaxed CsSrAgSe2 crystal (PBE).

Cell and atoms, written as POSCAR:
```
CsSrAgSe2
1.0
-2.8288 -0.8796 -5.1535
-2.6724 -7.2198 2.6991
-5.3403 7.2208 1.6989
Cs Se Sr Ag
2 4 2 2
direct
0.7801 0.2500 0.5000
0.2199 0.7500 0.5000
0.2784 0.3866 0.7732
0.7216 0.6134 0.2268
0.7216 0.8866 0.7732
0.2784 0.1134 0.2268
0.5000 0.7500 0.0000
0.5000 0.2500 0.0000
0.0000 0.0000 0.0000
0.0000 0.5000 0.0000
```

final energy: -3.62 eV/atom
Fermi-level density of states: 0.00 states/eV/atom
V: 39.67 A^3/atom
excess energy over the best structure of this formula in the dataset: 0.000 eV per formula unit
formation energy (no corrections): -1.15 eV/atom

Entry from the Alexandria database: a relaxed CsSrAgSe2 crystal (PBE).

Cell and atoms, written as POSCAR:
```
CsSrAgSe2
1.0
6.0605 0.0000 0.0000
0.0000 5.5476 0.0000
0.0000 0.0000 6.0605
Se Cs Ag Sr
2 1 1 1
direct
0.5000 0.0000 0.0000
0.0000 0.0000 0.5000
0.0000 0.0000 0.0000
0.0000 0.5000 0.0000
0.5000 0.5000 0.5000
```

final energy: -2.33 eV/atom
Fermi-level density of states: 0.56 states/eV/atom
V: 40.75 A^3/atom
excess energy over the best structure of this formula in the dataset: 6.448 eV per formula unit
formation energy (no corrections): 0.14 eV/atom

Entry from the Alexandria database: a relaxed CsTaAgSe4 crystal (PBE).

Cell and atoms, written as POSCAR:
```
CsTaAgSe4
1.0
6.2062 0.0000 -0.1606
0.0000 7.8787 0.0000
-2.5796 0.0000 10.1185
Se Ag Cs Ta
8 2 2 2
direct
0.9073 0.4961 0.2648
0.0927 0.5039 0.7352
0.9073 0.0039 0.2648
0.0927 0.9961 0.7352
0.7354 0.2500 0.9306
0.4364 0.7500 0.4666
0.2646 0.7500 0.0694
0.5636 0.2500 0.5334
0.3670 0.2500 0.7256
0.6330 0.7500 0.2744
0.3505 0.2500 0.1475
0.6495 0.7500 0.8525
0.8729 0.2500 0.7331
0.1271 0.7500 0.2669
```

final energy: -4.88 eV/atom
Fermi-level density of states: 0.79 states/eV/atom
V: 35.11 A^3/atom
formation energy (no corrections): -0.67 eV/atom

Entry from the Alexandria database: a relaxed CsTb2AgSe4 crystal (PBE).

Cell and atoms, written as POSCAR:
```
CsTb2AgSe4
1.0
-1.6617 3.2861 2.1702
1.3731 -5.4897 5.1546
13.7191 5.4895 2.1919
Ag Se Tb Cs
2 8 4 2
direct
0.8339 0.6679 0.7500
0.1661 0.3321 0.2500
0.0000 0.0000 0.5000
0.7424 0.4849 0.5981
0.7424 0.4849 0.9019
0.0000 0.0000 0.0000
0.2576 0.5151 0.4019
0.5643 0.1287 0.2500
0.4357 0.8713 0.7500
0.2576 0.5151 0.0981
0.6308 0.2617 0.0656
0.6308 0.2617 0.4344
0.3692 0.7383 0.5656
0.3692 0.7383 0.9344
0.8831 0.7662 0.2500
0.1169 0.2338 0.7500
```

final energy: -4.82 eV/atom
V: 29.33 A^3/atom
formation energy (no corrections): -1.46 eV/atom

Entry from the Alexandria database: a relaxed CsTbAgSe2 crystal (PBE).

Cell and atoms, written as POSCAR:
```
CsTbAgSe2
1.0
-4.2734 -1.6830 1.9018
-0.2869 -5.8755 -5.8443
4.2043 -4.5667 5.4060
Tb Se Ag Cs
2 4 2 2
direct
0.4969 0.0000 0.2500
0.5031 0.0000 0.7500
0.4061 0.7714 0.4803
0.4061 0.2286 0.0197
0.5939 0.2286 0.5197
0.5939 0.7714 0.9803
0.0000 0.0000 0.5000
0.0000 0.0000 0.0000
0.9176 0.5000 0.2500
0.0824 0.5000 0.7500
```

final energy: -4.13 eV/atom
Fermi-level density of states: 0.13 states/eV/atom
V: 33.80 A^3/atom
formation energy (no corrections): -1.07 eV/atom

Entry from the Alexandria database: a relaxed Cs2TbAg2Se4 crystal (PBE).

Cell and atoms, written as POSCAR:
```
Cs2TbAg2Se4
1.0
4.2488 0.0000 0.0000
0.0000 8.5986 0.5509
-2.1244 -2.8960 7.3904
Ag Cs Tb Se
2 2 1 4
direct
0.6793 0.9813 0.3586
0.3207 0.0187 0.6414
0.1320 0.5628 0.2641
0.8680 0.4372 0.7359
0.0000 0.0000 0.0000
0.8077 0.8233 0.6154
0.1923 0.1767 0.3846
0.5140 0.7770 0.0279
0.4860 0.2230 0.9721
```

final energy: -3.91 eV/atom
Fermi-level density of states: 0.54 states/eV/atom
V: 30.75 A^3/atom
formation energy (no corrections): -1.02 eV/atom

Entry from the Alexandria database: a relaxed CsTb2Ag3Se5 crystal (PBE).

Cell and atoms, written as POSCAR:
```
CsTb2Ag3Se5
1.0
-0.3390 -2.9281 -7.5583
1.9170 -1.1016 7.8057
-16.2158 -6.1590 3.1132
Ag Cs Tb Se
6 2 4 10
direct
0.1566 0.8434 0.2500
0.8434 0.1566 0.7500
0.0838 0.9162 0.5412
0.9162 0.0838 0.0412
0.9162 0.0838 0.4588
0.0838 0.9162 0.9588
0.5623 0.4377 0.7500
0.4377 0.5623 0.2500
0.6923 0.3077 0.0950
0.3077 0.6923 0.9050
0.6923 0.3077 0.4050
0.3077 0.6923 0.5950
0.9312 0.0688 0.6156
0.6821 0.3179 0.9303
0.6821 0.3179 0.5697
0.3179 0.6821 0.0697
0.3179 0.6821 0.4303
0.0688 0.9312 0.1156
0.9312 0.0688 0.8844
0.0688 0.9312 0.3844
0.7520 0.2480 0.2500
0.2480 0.7520 0.7500
```

final energy: -4.41 eV/atom
V: 27.15 A^3/atom
formation energy (no corrections): -1.13 eV/atom

Entry from the Alexandria database: a relaxed Cs2TcAgSe4 crystal (PBE).

Cell and atoms, written as POSCAR:
```
Cs2TcAgSe4
1.0
-0.1433 -1.3695 -6.0180
7.2851 -0.4529 -3.2369
0.4032 -13.0083 -0.2159
Se Cs Tc Ag
8 4 2 2
direct
0.4233 0.6906 0.3890
0.1877 0.3094 0.3890
0.8862 0.6906 0.6110
0.5028 0.3094 0.6110
0.8638 0.8094 0.8890
0.3267 0.8094 0.1110
0.5623 0.1906 0.1110
0.2472 0.1906 0.8890
0.9293 0.5000 0.1414
0.8207 0.0000 0.3586
0.1793 0.0000 0.6414
0.5707 0.5000 0.8586
0.2500 0.5000 0.5000
0.5000 0.0000 0.0000
0.0000 0.0000 0.0000
0.7500 0.5000 0.5000
```

final energy: -4.23 eV/atom
Fermi-level density of states: 0.04 states/eV/atom
V: 35.93 A^3/atom
formation energy (no corrections): -0.63 eV/atom

Number 1: density 4.07 g cm⁻³. Number 2: density 3.96 g cm⁻³. Number 3: density 4.98 g cm⁻³. Number 4: density 6.19 g cm⁻³. Number 5: density 5.48 g cm⁻³. Number 6: density 5.74 g cm⁻³. Number 7: density 6.50 g cm⁻³. Number 8: density 4.55 g cm⁻³.